This record from Alexandria describes a relaxed structure of NiOs2Ru. The functional is PBE.

a b c (Å): 2.7085 2.7085 25.8346
angles (deg): 90.00 90.00 120.00
Space group R3m (No. 160, hexagonal axes)
Symmetry-distinct sites (fractional):
Ni (0.0000, 0.0000, 0.0000)
Os (0.0000, 0.0000, 0.5001)
Os (0.0000, 0.0000, 0.7488)
Ru (0.0000, 0.0000, 0.2507)

## Properties
mass density: 16.4 g/cm3
energy above the most stable polymorph in this dataset: 44 meV/atom
D(E_F): 4.378 states/eV/f.u.
energy relative to the elements: 181.3 meV/atom

This record from Alexandria describes a relaxed structure of Ni2OsRu. The functional is PBE.

a b c (Å): 2.697 4.417 8.736
angles (deg): 90.00 90.00 90.00
Space group Cmmm (No. 65)
Symmetry-distinct sites (fractional):
Ni (0.000, 0.000, 0.250)
Os (0.000, 0.500, 0.000)
Ru (0.000, 0.500, 0.500)

## Properties
mass density: 13.0 g/cm3
energy above the most stable polymorph in this dataset: 299 meV/atom
D(E_F): 6.792 states/eV/f.u.
energy relative to the elements: 373.4 meV/atom

This record from Alexandria describes a relaxed structure of NiOs2Ru. The functional is PBE.

a b c (Å): 4.1188 4.1188 11.8705
angles (deg): 90.00 90.00 120.00
Space group R3m (No. 160, hexagonal axes)
Symmetry-distinct sites (fractional):
Ni (0.0000, 0.0000, 0.0000)
Os (0.0000, 0.0000, 0.3419)
Os (0.0000, 0.0000, 0.5686)
Ru (0.0000, 0.0000, 0.7817)

## Properties
mass density: 15.4 g/cm3
energy above the most stable polymorph in this dataset: 347 meV/atom
D(E_F): 4.489 states/eV/f.u.
energy relative to the elements: 484.5 meV/atom

This record from Alexandria describes a relaxed structure of NiOsRu. The functional is PBE.

a b c (Å): 2.690 2.690 10.989
angles (deg): 90.00 90.00 90.00
Space group I4mm (No. 107)
Symmetry-distinct sites (fractional):
Ni (0.000, 0.000, 0.000)
Os (0.000, 0.000, 0.665)
Ru (0.000, 0.000, 0.331)

## Properties
mass density: 14.6 g/cm3
energy above the most stable polymorph in this dataset: 98 meV/atom
D(E_F): 3.720 states/eV/f.u.
energy relative to the elements: 142.1 meV/atom

This record from Alexandria describes a relaxed structure of NiOs2Ru. The functional is PBE.

a b c (Å): 2.691 3.793 5.290
angles (deg): 90.00 90.00 90.00
Space group Pmmm (No. 47)
Symmetry-distinct sites (fractional):
Ni (0.000, 0.000, 0.000)
Os (0.500, 0.500, 0.240)
Ru (0.000, 0.000, 0.500)

## Properties
mass density: 16.6 g/cm3
energy above the most stable polymorph in this dataset: 22 meV/atom
D(E_F): 3.953 states/eV/f.u.
energy relative to the elements: 159.5 meV/atom

This record from Alexandria describes a relaxed structure of Ni2OsRu. The functional is PBE.

a b c (Å): 2.667 2.667 7.115
angles (deg): 90.00 90.00 90.00
Space group P4mm (No. 99)
Symmetry-distinct sites (fractional):
Ni (0.000, 0.000, 0.000)
Ni (0.500, 0.500, 0.233)
Os (0.000, 0.000, 0.482)
Ru (0.500, 0.500, 0.747)

## Properties
mass density: 13.4 g/cm3
energy above the most stable polymorph in this dataset: 48 meV/atom
D(E_F): 5.348 states/eV/f.u.
energy relative to the elements: 121.7 meV/atom

This record from Alexandria describes a relaxed structure of Ni2OsRu. The functional is PBE.

a b c (Å): 8.540 2.627 4.608
angles (deg): 90.00 100.05 90.00
Space group C2/m (No. 12)
Symmetry-distinct sites (fractional):
Ni (0.250, 0.000, 0.245)
Os (0.000, 0.500, 0.000)
Ru (0.000, 0.000, 0.500)

## Properties
mass density: 13.3 g/cm3
energy above the most stable polymorph in this dataset: 93 meV/atom
D(E_F): 5.350 states/eV/f.u.
energy relative to the elements: 167.4 meV/atom

This record from Alexandria describes a relaxed structure of Ni2OsRu. The functional is PBE.

a b c (Å): 2.6424 2.6424 25.3551
angles (deg): 90.00 90.00 120.00
Space group R-3m (No. 166, hexagonal axes)
Symmetry-distinct sites (fractional):
Ni (0.0000, 0.0000, 0.2500)
Os (0.0000, 0.0000, 0.0000)
Ru (0.0000, 0.0000, 0.5000)

## Properties
mass density: 13.3 g/cm3
energy above the most stable polymorph in this dataset: 111 meV/atom
D(E_F): 6.778 states/eV/f.u.
energy relative to the elements: 185.4 meV/atom

This record from Alexandria describes a relaxed structure of NiOs2Ru. The functional is PBE.

a b c (Å): 4.483 4.483 2.739
angles (deg): 90.00 90.00 90.00
Space group P4/mmm (No. 123)
Symmetry-distinct sites (fractional):
Ni (0.000, 0.000, 0.000)
Os (0.000, 0.500, 0.500)
Ru (0.500, 0.500, 0.000)

## Properties
mass density: 16.3 g/cm3
energy above the most stable polymorph in this dataset: 378 meV/atom
D(E_F): 5.029 states/eV/f.u.
energy relative to the elements: 515.5 meV/atom

This record from Alexandria describes a relaxed structure of Ni2OsRu. The functional is PBE.

a b c (Å): 5.242 10.410 3.702
angles (deg): 90.00 90.00 90.00
Space group Cmmm (No. 65)
Symmetry-distinct sites (fractional):
Ni (0.000, 0.128, 0.000)
Ni (0.250, 0.250, 0.500)
Os (0.242, 0.000, 0.500)
Ru (0.000, 0.374, 0.000)

## Properties
mass density: 13.4 g/cm3
energy above the most stable polymorph in this dataset: 28 meV/atom
D(E_F): 4.801 states/eV/f.u.
energy relative to the elements: 102.5 meV/atom

This record from Alexandria describes a relaxed structure of NiOsRu. The functional is PBE.

a b c (Å): 3.082 3.082 8.323
angles (deg): 90.00 90.00 90.00
Space group I4mm (No. 107)
Symmetry-distinct sites (fractional):
Ni (0.000, 0.000, 0.000)
Os (0.000, 0.000, 0.347)
Ru (0.000, 0.000, 0.665)

## Properties
mass density: 14.7 g/cm3
energy above the most stable polymorph in this dataset: 231 meV/atom
D(E_F): 4.341 states/eV/f.u.
energy relative to the elements: 275.4 meV/atom

This record from Alexandria describes a relaxed structure of Ni2OsRu. The functional is PBE.

a b c (Å): 5.211 7.379 2.618
angles (deg): 90.00 90.00 90.00
Space group Cmmm (No. 65)
Symmetry-distinct sites (fractional):
Ni (0.250, 0.250, 0.000)
Os (0.000, 0.000, 0.500)
Ru (0.000, 0.500, 0.500)

## Properties
mass density: 13.5 g/cm3
energy above the most stable polymorph in this dataset: 112 meV/atom
D(E_F): 5.334 states/eV/f.u.
energy relative to the elements: 186.4 meV/atom